(1)
## Y5CdSi2 (PBE)

Data for crystalline Y5CdSi2 at its relaxed geometry.

Summary:
* E_form (uncorrected): -552.5 meV per atom
* size of the total moment: 0.00 μB/f.u.
* N(E_F): 6.699 states/eV/f.u.

CIF file:
```
data_Y5CdSi2
_chemical_formula_sum 'Y20 Cd4 Si8'
_cell_length_a 7.6330
_cell_length_b 7.6330
_cell_length_c 14.3030
_cell_angle_alpha 90.00
_cell_angle_beta 90.00
_cell_angle_gamma 90.00
_space_group_name_H-M_alt 'I 4/m c m'
_space_group_IT_number 140
_space_group_name_Hall '-I 4 2c'
loop_
_atom_site_label
_atom_site_fract_x
_atom_site_fract_y
_atom_site_fract_z
Y1 0.0000 0.0000 0.0000
Y2 0.1692 0.3308 0.1383
Cd1 0.0000 0.0000 0.2500
Si1 0.1274 0.3726 0.5000
```



(2)
## YCd2Si2 (PBE)

Data for crystalline YCd2Si2 at its relaxed geometry.

Summary:
* E above lowest polymorph: 256 meV per atom
* E_form (uncorrected): 82.8 meV per atom
* size of the total moment: 0.00 μB/f.u.
* N(E_F): 1.716 states/eV/f.u.

CIF file:
```
data_YCd2Si2
_chemical_formula_sum 'Y2 Cd4 Si4'
_cell_length_a 4.7599
_cell_length_b 4.7599
_cell_length_c 9.8240
_cell_angle_alpha 90.00
_cell_angle_beta 90.00
_cell_angle_gamma 90.00
_space_group_name_H-M_alt 'I 4/m m m'
_space_group_IT_number 139
_space_group_name_Hall '-I 4 2'
loop_
_atom_site_label
_atom_site_fract_x
_atom_site_fract_y
_atom_site_fract_z
Y1 0.0000 0.0000 0.0000
Cd1 0.0000 0.0000 0.3652
Si1 0.0000 0.5000 0.2500
```



(3)
## YCdSi2 (PBE)

Data for crystalline YCdSi2 at its relaxed geometry.

Summary:
* E_form (uncorrected): -228.8 meV per atom
* size of the total moment: 0.00 μB/f.u.
* N(E_F): 1.151 states/eV/f.u.

CIF file:
```
data_YCdSi2
_chemical_formula_sum 'Y1 Cd1 Si2'
_cell_length_a 4.4148
_cell_length_b 4.4148
_cell_length_c 4.0555
_cell_angle_alpha 90.00
_cell_angle_beta 90.00
_cell_angle_gamma 90.00
_space_group_name_H-M_alt 'P 4/m m m'
_space_group_IT_number 123
_space_group_name_Hall '-P 4 2'
loop_
_atom_site_label
_atom_site_fract_x
_atom_site_fract_y
_atom_site_fract_z
Y1 0.0000 0.0000 0.0000
Cd1 0.5000 0.5000 0.0000
Si1 0.0000 0.5000 0.5000
```



(4)
## Y2CdSi (PBE)

Data for crystalline Y2CdSi at its relaxed geometry.

Summary:
* E_form (uncorrected): -377.6 meV per atom
* size of the total moment: 0.00 μB/f.u.
* N(E_F): 2.393 states/eV/f.u.

CIF file:
```
data_Y2CdSi
_chemical_formula_sum 'Y4 Cd2 Si2'
_cell_length_a 3.9177
_cell_length_b 4.6404
_cell_length_c 10.5652
_cell_angle_alpha 90.00
_cell_angle_beta 90.00
_cell_angle_gamma 90.00
_space_group_name_H-M_alt 'I m m 2'
_space_group_IT_number 44
loop_
_space_group_symop_operation_xyz
'x,y,z'
'-x,-y,z'
'-x,y,z'
'x,-y,z'
'x+1/2,y+1/2,z+1/2'
'-x+1/2,-y+1/2,z+1/2'
'-x+1/2,y+1/2,z+1/2'
'x+1/2,-y+1/2,z+1/2'
loop_
_atom_site_label
_atom_site_fract_x
_atom_site_fract_y
_atom_site_fract_z
Y1 0.0000 0.0000 0.0000
Y2 0.0000 0.5000 0.2333
Cd1 0.0000 0.5000 0.7772
Si1 0.0000 0.0000 0.4688
```